LiV4O5F7 (PBE+U, relaxed); excess energy over the best structure of this formula in the dataset = 0 meV per atom; theoretical density = 3.39 Mg/m³; total energy = -6.507 eV/atom
1.0
5.166 0.000 0.000
-2.559 4.699 0.000
-0.111 -2.714 8.541
Li V O F
1 4 5 7
direct
0.000 0.000 0.000
0.041 0.102 0.353
0.357 0.665 0.089
0.533 0.128 0.849
0.774 0.602 0.583
0.308 0.856 0.965
0.409 0.371 0.919
0.409 0.394 0.509
0.744 0.863 0.163
0.868 0.897 0.473
0.227 0.853 0.668
0.252 0.881 0.269
0.264 0.349 0.205
0.745 0.866 0.779
0.782 0.350 0.709
0.893 0.332 0.010
0.897 0.388 0.412